(1)
Here is a geometry-optimized RbCd2InAu4 structure from Alexandria via LeMat-Bulk. Energies are from PBE.

Output
size of the total moment	0.00	μB per formula unit
uncorrected energy	-2.4819	eV per atom
ΔE_f	-151	meV per atom

The structure in extended XYZ format:
```
8
Lattice="4.721 0.000 0.000 2.361 4.089 0.000 2.361 1.363 10.610" Properties=species:S:1:pos:R:3 pbc="T T T"
Rb 0.000 0.000 0.000
Cd 2.361 1.363 2.982
Cd 7.082 4.089 7.628
Au 4.721 2.726 8.169
Au 2.361 1.363 6.334
Au 4.721 2.726 2.441
Au 7.082 4.089 4.276
In 4.721 2.726 5.305
```

(2)
Here is a geometry-optimized Cd2InRuAu structure from Alexandria via LeMat-Bulk. Energies are from PBE.

Output
size of the total moment	2.32	μB per formula unit
uncorrected energy	-2.4972	eV per atom
ΔE_f	927	meV per atom

The structure in extended XYZ format:
```
5
Lattice="-4.090 -0.681 -3.074 -0.232 -4.928 1.401 -3.140 1.257 3.899" Properties=species:S:1:pos:R:3 pbc="T T T"
In -0.116 -2.464 0.701
Cd -1.570 0.628 1.949
Cd -2.045 -0.341 -1.537
Au 0.000 0.000 0.000
Ru -3.731 -2.176 1.113
```

(3)
Here is a geometry-optimized CdIn2AuS structure from Alexandria via LeMat-Bulk. Energies are from PBE.

Output
size of the total moment	0.00	μB per formula unit
uncorrected energy	-2.3429	eV per atom
energy relative to the elements, uncorrected	0.417	eV per atom

The structure in extended XYZ format:
```
5
Lattice="-1.796 -4.505 -3.084 0.872 -2.892 3.716 -5.358 0.832 1.905" Properties=species:S:1:pos:R:3 pbc="T T T"
Cd 0.000 0.000 0.000
In -0.898 -2.252 -1.542
In -2.679 0.416 0.953
Au -3.141 -3.282 1.269
S 0.436 -1.446 1.858
```

(4)
Here is a geometry-optimized Cd2InAuS4 structure from Alexandria via LeMat-Bulk. Energies are from PBE.

Output
size of the total moment	0.00	μB per formula unit
uncorrected energy	-3.5092	eV per atom
energy relative to the elements, uncorrected	-0.465	eV per atom

The structure in extended XYZ format:
```
8
Lattice="5.930 0.317 0.000 -0.176 5.936 0.000 -2.877 -3.126 5.895" Properties=species:S:1:pos:R:3 pbc="T T T"
Cd -0.088 2.968 2.869
Cd 2.965 0.158 2.869
S 4.263 1.851 1.379
S 1.491 4.402 1.379
S 1.462 1.588 4.373
S -1.462 -1.588 4.373
In 0.000 0.000 5.554
Au 0.000 0.000 0.787
```

(5)
Here is a geometry-optimized Cd2InSb2Au7 structure from Alexandria via LeMat-Bulk. Energies are from PBE.

Output
size of the total moment	0.00	μB per formula unit
uncorrected energy	-3.0199	eV per atom
energy relative to the elements, uncorrected	-0.040	eV per atom

The structure in extended XYZ format:
```
12
Lattice="4.030 -0.008 0.218 -0.003 4.030 0.218 2.685 2.682 16.667" Properties=species:S:1:pos:R:3 pbc="T T T"
Au 2.146 2.143 7.352
Au 4.798 2.771 14.447
Au 1.914 3.933 2.656
Au 4.566 4.561 9.750
Au 2.777 4.794 14.447
Au 3.935 1.910 2.656
Au 2.013 2.011 0.218
Sb 2.565 2.562 10.101
Sb 4.147 4.142 7.001
Cd 4.895 4.889 12.508
Cd 1.817 1.815 4.594
In 0.000 0.000 0.000
```

(6)
Here is a geometry-optimized CdIn2SbAu4 structure from Alexandria via LeMat-Bulk. Energies are from PBE.

Output
size of the total moment	0.00	μB per formula unit
uncorrected energy	-3.0819	eV per atom
energy relative to the elements, uncorrected	-0.129	eV per atom

The structure in extended XYZ format:
```
8
Lattice="-2.297 -3.013 -4.397 -3.293 -3.738 2.979 -1.320 6.829 0.493" Properties=species:S:1:pos:R:3 pbc="T T T"
Au -3.971 -4.885 -2.431
Au -4.402 -0.732 -0.667
Au -4.343 -5.156 0.321
Au -1.243 2.338 0.062
In -3.050 0.648 1.547
In -2.552 1.010 -2.141
Sb -2.345 -2.832 -0.595
Cd -0.284 -0.343 -0.072
```